A plane-wave DFT calculation with GGA-PBE was carried out for a relaxed Ti2CCl2 crystal.

Cell lengths 3.766, 3.766, 11.419 Å; angles 90.00, 90.00, 90.00 degrees
Space group I4/mmm (No. 139)
Symmetry-distinct sites (fractional):
1 Ti 0.000 0.000 0.108 (multiplicity 4)
2 C 0.000 0.000 0.500 (multiplicity 2)
3 Cl 0.000 0.500 0.250 (multiplicity 4)

Uncorrected energy ... -5.227 eV per atom
DOS at the Fermi energy ... 1.4 states/eV/cell
E_form (uncorrected) ... 0.51 eV/atom
Crystal system ... tetragonal